Entry from Alexandria: K2Rb2Zn after structural relaxation (PBE-GGA).

```
data_K2Rb2Zn
_cell_length_a 5.816
_cell_length_b 5.816
_cell_length_c 23.199
_cell_angle_alpha 90.00
_cell_angle_beta 90.00
_cell_angle_gamma 90.00
_space_group_name_H-M_alt 'I 4/m m m'
_space_group_IT_number 139
_space_group_name_Hall '-I 4 2'
loop_
_atom_site_label
_atom_site_type_symbol
_atom_site_fract_x
_atom_site_fract_y
_atom_site_fract_z
_atom_site_occupancy
K1 K 0.000 0.000 0.085 1
Rb1 Rb 0.000 0.500 0.250 1
Zn1 Zn 0.000 0.000 0.500 1
```

Entry from Alexandria: K2Rb2Zn after structural relaxation (PBE-GGA).

```
data_K2Rb2Zn
_cell_length_a 9.405
_cell_length_b 9.405
_cell_length_c 7.555
_cell_angle_alpha 90.00
_cell_angle_beta 90.00
_cell_angle_gamma 90.00
_space_group_name_H-M_alt 'P 4/m b m'
_space_group_IT_number 127
_space_group_name_Hall '-P 4 2ab'
loop_
_atom_site_label
_atom_site_type_symbol
_atom_site_fract_x
_atom_site_fract_y
_atom_site_fract_z
_atom_site_occupancy
K1 K 0.159 0.341 0.000 1
Rb1 Rb 0.180 0.680 0.500 1
Zn1 Zn 0.000 0.000 0.000 1
```

Entry from Alexandria: K8Rb2Zn after structural relaxation (PBE-GGA).

```
data_K8Rb2Zn
_cell_length_a 14.381
_cell_length_b 9.381
_cell_length_c 11.996
_cell_angle_alpha 90.00
_cell_angle_beta 106.73
_cell_angle_gamma 90.00
_space_group_name_H-M_alt 'C 1 2/m 1'
_space_group_IT_number 12
loop_
_space_group_symop_operation_xyz
'x,y,z'
'-x,-y,-z'
'-x,y,-z'
'x,-y,z'
'x+1/2,y+1/2,z'
'-x+1/2,-y+1/2,-z'
'-x+1/2,y+1/2,-z'
'x+1/2,-y+1/2,z'
loop_
_atom_site_label
_atom_site_type_symbol
_atom_site_fract_x
_atom_site_fract_y
_atom_site_fract_z
_atom_site_occupancy
K1 K 0.057 0.237 0.209 1
K2 K 0.135 0.500 0.637 1
K3 K 0.247 0.000 0.986 1
Rb1 Rb 0.166 0.000 0.590 1
Zn1 Zn 0.000 0.500 0.000 1
```

| no. | E_form (eV/atom) | total magnetization (μB/f.u.) |
| --- | --- | --- |
| 1 | 0.30 | 0.00 |
| 2 | 0.14 | 0.00 |
| 3 | 0.06 | 0.00 |